*1*
11
Lattice="-1.2766 0.3024 -5.1955 -4.6771 -1.1911 2.3281 -1.9317 4.1376 -0.0518" Properties=species:S:1:pos:R:3 comment="PBE Zn2P2O7, optimized geometry" dos_ef_per_ev_cell=0.0 space_group=C2/m volume_a3_per_atom=11.21 pbc="T T T"
Zn -3.2953 1.9088 -2.8920
Zn -4.5902 1.3401 -0.0271
P -6.4340 3.0534 -2.3019
P -1.4514 0.1956 -0.6172
O -5.5215 2.5268 -3.4175
O -1.3293 1.1766 -1.7907
O -2.3639 0.7222 0.4984
O -6.5562 2.0724 -1.1284
O -3.7891 2.9194 -1.1331
O 0.0000 0.0000 0.0000
O -4.0963 0.3296 -1.7860


*2*
88
Lattice="5.0393 0.0000 0.0000 0.0000 13.4990 0.0000 0.0000 0.0000 16.6692" Properties=species:S:1:pos:R:3 comment="PBE Zn2P2O7, optimized geometry" dos_ef_per_ev_cell=0.0 space_group=Pbcm volume_a3_per_atom=12.89 pbc="T T T"
Zn 3.4051 10.2459 10.9511
Zn 1.6343 3.4963 14.0527
Zn 4.5709 7.3799 15.2328
Zn 0.4684 6.1191 1.4365
Zn 4.5709 7.3799 9.7711
Zn 1.6343 3.4963 10.9511
Zn 3.4051 10.2459 14.0527
Zn 4.5709 12.8686 6.8981
Zn 4.5709 12.8686 1.4365
Zn 0.4684 0.6304 9.7711
Zn 3.4051 10.0027 5.7181
Zn 1.6343 3.2532 2.6165
Zn 0.4684 6.1191 6.8981
Zn 3.4051 10.0027 2.6165
Zn 1.6343 3.2532 5.7181
Zn 0.4684 0.6304 15.2328
P 0.8514 11.4409 4.1673
P 2.1119 11.5565 16.6222
P 4.1879 4.6914 4.1673
P 0.2219 6.0124 12.5019
P 2.1119 8.6920 0.0470
P 2.9274 1.9425 8.2876
P 4.1879 2.0582 12.5019
P 0.2219 0.7371 4.1673
P 2.1119 11.5565 8.3816
P 0.8514 8.8077 12.5019
P 2.9274 1.9425 0.0470
P 4.8175 12.7620 12.5019
P 2.1119 8.6920 8.2876
P 4.8175 7.4866 4.1673
P 2.9274 4.8070 8.3816
P 2.9274 4.8070 16.6222
O 4.9932 2.3022 11.2084
O 0.0461 9.0517 13.7954
O 0.5825 12.8640 13.7847
O 0.0461 11.1968 5.4608
O 0.9893 12.6055 0.0545
O 4.9932 4.4473 5.4608
O 4.4569 6.1144 11.2191
O 0.9893 12.6055 8.2801
O 1.3410 10.1243 8.3346
O 2.1774 10.6597 4.1673
O 4.4569 6.1144 13.7847
O 3.6983 3.3748 8.3346
O 2.1334 1.8536 1.3319
O 4.4569 0.6351 2.8845
O 2.1774 9.5889 12.5019
O 3.7430 0.5118 12.5019
O 0.5825 7.3846 5.4501
O 0.5825 12.8640 11.2191
O 3.0144 11.5934 1.2157
O 0.5825 7.3846 2.8845
O 0.0461 9.0517 11.2084
O 4.9932 2.3022 13.7954
O 3.0144 8.6552 15.4535
O 4.0500 0.8936 8.3891
O 2.0250 4.8438 1.2157
O 3.6983 3.3748 0.0000
O 2.1334 1.8536 7.0027
O 2.1334 4.8959 9.6665
O 3.0144 11.5934 7.1189
O 2.8619 3.9102 4.1673
O 4.0500 5.8560 0.0545
O 0.9893 7.6431 8.3891
O 2.9059 11.6454 9.6665
O 2.0250 4.8438 7.1189
O 1.2964 7.2614 12.5019
O 4.0500 5.8560 8.2801
O 2.0250 1.9057 9.5503
O 2.9059 8.6032 7.0027
O 2.9059 8.6032 1.3319
O 1.0889 4.7398 12.5019
O 2.8619 2.8393 12.5019
O 4.9932 4.4473 2.8738
O 3.9504 11.4893 12.5019
O 1.3410 10.1243 0.0000
O 0.0461 11.1968 2.8738
O 4.4569 0.6351 5.4501
O 2.0250 1.9057 15.4535
O 2.9059 11.6454 15.3373
O 0.9893 7.6431 16.6147
O 3.9504 8.7592 4.1673
O 1.2964 12.9872 4.1673
O 1.0889 2.0097 4.1673
O 3.7430 6.2377 4.1673
O 2.1334 4.8959 15.3373
O 4.0500 0.8936 16.6147
O 3.0144 8.6552 9.5503


*3*
66
Lattice="-8.7975 -5.1588 -3.6092 -1.6769 -8.2708 -6.7689 -0.2348 -6.8451 6.2128" Properties=species:S:1:pos:R:3 comment="PBE Zn2P2O7, optimized geometry" dos_ef_per_ev_cell=0.0 space_group=C2/c volume_a3_per_atom=11.57 pbc="T T T"
Zn -4.2849 -14.0487 0.0093
Zn -3.8745 -10.8141 -2.2517
Zn -6.4243 -6.2259 -4.1746
Zn -6.8347 -9.4605 -1.9136
Zn -4.8553 -15.6383 -2.6817
Zn -1.4042 -10.0548 -0.4037
Zn -5.8539 -4.6363 -1.4836
Zn -9.3049 -10.2198 -3.7616
Zn -9.5722 -13.6152 -1.2424
Zn -5.6790 -8.1482 2.1469
Zn -1.1369 -6.6594 -2.9229
Zn -5.0301 -12.1264 -6.3122
P -0.8645 -1.7617 0.2617
P -10.0308 -14.9577 -7.3987
P -9.8446 -18.5129 -4.4269
P -0.6783 -5.3169 3.2334
P -6.4347 -9.2999 -5.1323
P -4.2909 -7.4936 -2.0800
P -4.2744 -10.9747 0.9670
P -6.4182 -12.7810 -2.0853
P -8.1012 -16.4430 -1.6188
P -3.0086 -7.1303 0.6856
P -2.6080 -3.8316 -2.5465
P -7.7006 -13.1443 -4.8509
O -2.3870 -9.6973 -4.9266
O -8.3221 -10.5773 0.7613
O -9.3169 -13.5825 -7.4102
O -1.4084 -3.2112 0.1978
O -1.3922 -6.6921 3.2449
O -9.3008 -17.0634 -4.3630
O -2.0360 -9.9451 -2.4770
O -3.6425 -9.0543 -6.9749
O -8.6731 -10.3295 -1.6883
O -7.0666 -11.2203 2.8096
O -8.3453 -6.7693 -4.0701
O -7.4065 -7.8276 -0.9120
O -2.3638 -13.5053 -0.0952
O -3.3026 -12.4470 -3.2533
O -7.4274 -9.0727 -6.3877
O -4.0690 -7.3840 -0.4825
O -3.2817 -11.2019 2.2224
O -6.6401 -12.8906 -3.6827
O -5.6699 -7.9585 -5.0220
O -4.8689 -8.9167 -2.2732
O -5.0392 -12.3161 0.8567
O -5.8402 -11.3579 -1.8921
O -8.3542 -11.0532 -7.6958
O -2.3941 -5.7305 0.4935
O -2.3549 -9.2214 3.5305
O -8.3150 -14.5441 -4.6588
O -7.3838 -9.4818 -3.9264
O -5.3660 -6.4271 -2.3877
O -3.3253 -10.7928 -0.2388
O -5.3432 -13.8475 -1.7776
O -9.2344 -15.4863 -2.0163
O -3.8567 -7.2210 1.9624
O -1.4747 -4.7883 -2.1490
O -6.8524 -13.0536 -6.1276
O -5.5414 -10.4879 -5.3504
O -3.0094 -7.2562 -2.8270
O -5.1677 -9.7868 1.1851
O -7.6998 -13.0184 -1.3383
O -6.8881 -16.3522 -2.5687
O -1.9234 -8.2256 0.6157
O -3.8211 -3.9224 -1.5966
O -8.7857 -12.0490 -4.7810


Pick *2*: it beats the second-best structure by 2.2 kJ/mol of atoms.